# CaHf2WO8 GGA+U relaxed
data_CaHf2WO8
_space_group_name_H-M_alt 'P 1'
_space_group_IT_number 1
_space_group_name_Hall 'P 1'
_cell_length_a 4.874
_cell_length_b 4.874
_cell_length_c 6.558
_cell_angle_alpha 90.00
_cell_angle_beta 90.00
_cell_angle_gamma 89.11
loop_
_atom_site_label
_atom_site_fract_x
_atom_site_fract_y
_atom_site_fract_z
_atom_site_occupancy
Ca1 0.000 0.000 0.500 1
Hf1 0.500 0.500 0.744 1
Hf2 0.500 0.500 0.256 1
W1 0.000 0.000 0.000 1
O1 0.198 0.802 0.211 1
O2 0.711 0.711 0.000 1
O3 0.802 0.198 0.211 1
O4 0.802 0.198 0.789 1
O5 0.289 0.289 0.000 1
O6 0.198 0.802 0.789 1
O7 0.679 0.679 0.500 1
O8 0.321 0.321 0.500 1
# - Theoretical density: 7.56 g/cm³
# - VASP energy: -8.696 eV per atom
# - M_tot: 0.00 μB/cell
# - N(E_F): 0.000 states/eV/f.u.